Record 1
This record from the Alexandria database describes crystalline NaMgGaPb at its relaxed geometry. The functional is PBE.

Output
DFT formation energy: -0.313 eV per formula unit
Calculated volume: 24.1 Å³ per atom
Crystal system: cubic
Fermi-level density of states: 2.0 states/eV/cell
SG: F-43m

Cell lengths 5.1461, 5.1461, 5.1461 Å; angles 60.00, 60.00, 60.00 degrees
Element x y z (fractional)
Na  0.0000  0.0000  0.0000
Mg  0.5000  0.5000  0.5000
Ga  0.2500  0.2500  0.2500
Pb  0.7500  0.7500  0.7500


Record 2
This record from the Alexandria database describes crystalline NaMgGa2Pt at its relaxed geometry. The functional is PBE.

Output
DFT formation energy: -1.554 eV per formula unit
Calculated volume: 24.1 Å³ per atom
Crystal system: tetragonal
Fermi-level density of states: 2.5 states/eV/cell
SG: P4/mmm

Cell lengths 4.8619, 4.8619, 5.0875 Å; angles 90.00, 90.00, 90.00 degrees
Element x y z (fractional)
Na  0.0000  0.0000  0.0000
Mg  0.5000  0.5000  0.0000
Ga  0.0000  0.5000  0.5000
Ga  0.5000  0.0000  0.5000
Pt  0.5000  0.5000  0.5000


Record 3
This record from the Alexandria database describes crystalline Na2MgGa3Pt4 at its relaxed geometry. The functional is PBE.

Output
DFT formation energy: -6.067 eV per formula unit
Calculated volume: 18.9 Å³ per atom
Crystal system: tetragonal
Fermi-level density of states: 2.6 states/eV/cell
SG: P-4m2

Cell lengths 4.1531, 4.1531, 10.9846 Å; angles 90.00, 90.00, 90.00 degrees
Element x y z (fractional)
Na  0.0000  0.5000  0.2411
Na  0.5000  0.0000  0.7589
Mg  0.0000  0.0000  0.5000
Ga  0.0000  0.5000  0.8676
Ga  0.5000  0.0000  0.1324
Ga  0.5000  0.5000  0.5000
Pt  0.0000  0.0000  0.0000
Pt  0.0000  0.5000  0.6415
Pt  0.5000  0.0000  0.3585
Pt  0.5000  0.5000  0.0000


Record 4
This record from the Alexandria database describes crystalline NaMgGaRu2 at its relaxed geometry. The functional is PBE.

Output
DFT formation energy: 8.013 eV per formula unit
Calculated volume: 20.5 Å³ per atom
Crystal system: tetragonal
Fermi-level density of states: 7.3 states/eV/cell
SG: P4/mmm

Cell lengths 4.6960, 4.6960, 4.6500 Å; angles 90.00, 90.00, 90.00 degrees
Element x y z (fractional)
Na  0.0000  0.0000  0.0000
Mg  0.5000  0.5000  0.5000
Ga  0.0000  0.0000  0.5000
Ru  0.0000  0.5000  0.0000
Ru  0.5000  0.0000  0.0000


Record 5
This record from the Alexandria database describes crystalline NaMgGaSe3 at its relaxed geometry. The functional is PBE.

Output
Calculated volume: 28.0 Å³ per atom
Energy relative to the elements, uncorrected: -0.924 eV/atom
Crystal system: monoclinic
SG: P2_1/m

Cell lengths 8.1242, 3.9097, 11.0522 Å; angles 90.00, 106.79, 90.00 degrees
Element x y z (fractional)
Na  0.1969  0.2500  0.1663
Na  0.8031  0.7500  0.8337
Mg  0.3594  0.7500  0.8986
Mg  0.6406  0.2500  0.1014
Ga  0.0846  0.2500  0.6226
Ga  0.9154  0.7500  0.3774
Se  0.0911  0.2500  0.8366
Se  0.2099  0.7500  0.5380
Se  0.4453  0.7500  0.1459
Se  0.5547  0.2500  0.8541
Se  0.7901  0.2500  0.4620
Se  0.9089  0.7500  0.1634


Record 6
This record from the Alexandria database describes crystalline NaMg2GaSe4 at its relaxed geometry. The functional is PBE.

Output
Calculated volume: 24.0 Å³ per atom
Energy relative to the elements, uncorrected: -0.965 eV/atom
Crystal system: orthorhombic
SG: Cmcm

Cell lengths 7.1472, 7.1472, 14.4835 Å; angles 90.00, 90.00, 148.71 degrees
Element x y z (fractional)
Na  0.1360  0.8640  0.7500
Na  0.8640  0.1360  0.2500
Mg  0.3812  0.6188  0.5545
Mg  0.3812  0.6188  0.9455
Mg  0.6188  0.3812  0.0545
Mg  0.6188  0.3812  0.4455
Ga  0.1516  0.8484  0.2500
Ga  0.8484  0.1516  0.7500
Se  0.0000  0.0000  0.0000
Se  0.0000  0.0000  0.5000
Se  0.2483  0.7517  0.1128
Se  0.2483  0.7517  0.3872
Se  0.4599  0.5401  0.7500
Se  0.5401  0.4599  0.2500
Se  0.7517  0.2483  0.6128
Se  0.7517  0.2483  0.8872


Record 7
This record from the Alexandria database describes crystalline Na2MgGaSe4 at its relaxed geometry. The functional is PBE.

Output
Calculated volume: 23.6 Å³ per atom
Energy relative to the elements, uncorrected: -0.841 eV/atom
Crystal system: tetragonal
Fermi-level density of states: 5.0 states/eV/cell
SG: I-42m

Cell lengths 6.2644, 6.2644, 6.2644 Å; angles 107.35, 107.35, 113.80 degrees
Element x y z (fractional)
Na  0.0000  0.5000  0.5000
Na  0.5000  0.0000  0.5000
Mg  0.0000  0.0000  0.0000
Ga  0.5000  0.5000  0.0000
Se  0.0909  0.0909  0.6426
Se  0.4483  0.4483  0.3574
Se  0.5517  0.9091  0.0000
Se  0.9091  0.5517  0.0000


Record 8
This record from the Alexandria database describes crystalline NaSmMgGa at its relaxed geometry. The functional is PBE.

Output
DFT formation energy: -0.577 eV per formula unit
Calculated volume: 23.3 Å³ per atom
Crystal system: cubic
Fermi-level density of states: 2.7 states/eV/cell
SG: F-43m

Cell lengths 5.0926, 5.0926, 5.0926 Å; angles 60.00, 60.00, 60.00 degrees
Element x y z (fractional)
Na  0.0000  0.0000  0.0000
Sm  0.2500  0.2500  0.2500
Mg  0.7500  0.7500  0.7500
Ga  0.5000  0.5000  0.5000